Density functional theory data (PBE-GGA) for Ac2Ge3Ir after structural relaxation.

```
Ac2Ge3Ir
1.0
-3.647 0.643 -5.111
3.049 -4.629 -3.017
-4.558 -3.051 6.894
Ac Ge Ir
4 6 2
direct
0.744 0.744 0.000 Ac
0.256 0.256 0.000 Ac
0.750 0.250 0.500 Ac
0.250 0.750 0.500 Ac
0.833 0.337 0.170 Ge
0.170 0.170 0.341 Ge
0.830 0.830 0.659 Ge
0.337 0.833 0.170 Ge
0.663 0.167 0.830 Ge
0.167 0.663 0.830 Ge
0.335 0.335 0.670 Ir
0.665 0.665 0.330 Ir
```

Properties
Energy relative to the elements in meV per atom: -778
Mass density in g/cm3: 9.5
V in Å³ per cell: 300.6

Density functional theory data (PBE-GGA) for CsTlIr3 after structural relaxation.

```
CsTlIr3
1.0
5.100 0.000 0.000
0.000 5.100 0.000
0.000 0.000 5.100
Tl Cs Ir
1 1 3
direct
0.500 0.500 0.500 Tl
0.000 0.000 0.000 Cs
0.000 0.000 0.500 Ir
0.000 0.500 0.000 Ir
0.500 0.000 0.000 Ir
```

Properties
Energy relative to the elements in meV per atom: 2832
Mass density in g/cm3: 11.4
V in Å³ per cell: 132.7

Density functional theory data (PBE-GGA) for Hf4GaAu after structural relaxation.

```
Hf4GaAu
1.0
-0.677 0.311 -6.443
4.957 -4.122 -0.719
-6.256 -3.075 3.776
Ga Hf Au
2 8 2
direct
0.375 0.625 0.250 Ga
0.625 0.375 0.750 Ga
0.500 0.746 0.000 Hf
0.500 0.254 0.000 Hf
0.000 0.746 0.000 Hf
0.746 0.000 0.500 Hf
0.746 0.500 0.500 Hf
0.254 0.500 0.500 Hf
0.254 0.000 0.500 Hf
0.000 0.254 0.000 Hf
0.125 0.875 0.750 Au
0.875 0.125 0.250 Au
```

Properties
Energy relative to the elements in meV per atom: 9
Energy above the lowest structure with this stoichiometry in eV/atom: 0.345
Mass density in g/cm3: 12.0
V in Å³ per cell: 271.9

Density functional theory data (PBE-GGA) for Pm10Pr4Mg after structural relaxation.

```
Pm10Pr4Mg
1.0
9.716 0.000 4.387
4.858 7.088 2.194
1.941 0.000 8.654
Pr Pm Mg
4 10 1
direct
0.324 0.739 0.612 Pr
0.676 0.261 0.388 Pr
0.063 0.612 0.261 Pr
0.937 0.388 0.739 Pr
0.250 0.500 0.500 Pm
0.548 0.903 0.678 Pm
0.550 0.322 0.903 Pm
0.450 0.678 0.097 Pm
0.872 0.903 0.678 Pm
0.452 0.097 0.322 Pm
0.225 0.322 0.903 Pm
0.775 0.678 0.097 Pm
0.128 0.097 0.322 Pm
0.750 0.500 0.500 Pm
0.000 0.000 0.000 Mg
```

Properties
Energy relative to the elements in meV per atom: 314
Mass density in g/cm3: 6.3
V in Å³ per cell: 535.6

Density functional theory data (PBE-GGA) for InCo2Hg after structural relaxation.

```
InCo2Hg
1.0
8.374 -0.165 -0.097
7.824 2.990 -0.097
7.824 1.364 2.662
Co In Hg
2 1 1
direct
0.985 0.985 0.985 Co
0.265 0.265 0.265 Co
0.738 0.738 0.738 In
0.512 0.512 0.512 Hg
```

Properties
Energy relative to the elements in meV per atom: 427
Energy above the lowest structure with this stoichiometry in eV/atom: 0.166
Mass density in g/cm3: 9.9
V in Å³ per cell: 72.6

Density functional theory data (PBE-GGA) for Hf6Ge2Sb after structural relaxation.

```
Hf6Ge2Sb
1.0
5.566 0.000 0.172
0.000 7.613 0.000
-0.465 0.000 9.041
Hf Ge Sb
12 4 2
direct
0.408 0.808 0.434 Hf
0.623 0.471 0.301 Hf
0.374 0.847 0.064 Hf
0.874 0.653 0.564 Hf
0.908 0.692 0.934 Hf
0.877 0.971 0.199 Hf
0.377 0.529 0.699 Hf
0.123 0.029 0.801 Hf
0.092 0.308 0.066 Hf
0.626 0.153 0.936 Hf
0.126 0.347 0.436 Hf
0.592 0.192 0.566 Hf
0.911 0.377 0.756 Ge
0.589 0.877 0.744 Ge
0.089 0.623 0.244 Ge
0.411 0.123 0.256 Ge
0.500 0.500 0.000 Sb
0.000 0.000 0.500 Sb
```

Properties
Mass density in g/cm3: 11.6
V in Å³ per cell: 383.7
Electronic total energy in eV per atom: -8.441

Density functional theory data (PBE-GGA) for Sm4GeP2 after structural relaxation.

```
Sm4GeP2
1.0
-3.015 -2.740 -6.460
-3.458 -3.256 5.981
-1.000 7.565 0.314
Sm P Ge
8 4 2
direct
0.133 0.883 0.376 Sm
0.999 0.617 0.743 Sm
0.257 0.256 0.874 Sm
0.751 0.244 0.867 Sm
0.493 0.117 0.249 Sm
0.126 0.383 0.383 Sm
0.617 0.744 0.001 Sm
0.624 0.756 0.507 Sm
0.249 0.624 0.125 P
0.375 0.876 0.751 P
0.875 0.124 0.499 P
0.501 0.376 0.625 P
0.000 0.000 0.000 Ge
0.750 0.500 0.250 Ge
```

Properties
Energy relative to the elements in meV per atom: -1143
Mass density in g/cm3: 7.1
V in Å³ per cell: 343.0

Density functional theory data (PBE-GGA) for In2P after structural relaxation.

```
In2P
1.0
2.029 6.331 -0.887
-2.029 6.331 -0.887
0.000 0.812 5.596
P In
2 4
direct
0.168 0.168 0.751 P
0.832 0.832 0.249 P
0.530 0.530 0.750 In
0.819 0.819 0.749 In
0.470 0.470 0.250 In
0.181 0.181 0.251 In
```

Properties
Energy relative to the elements in meV per atom: 18
Energy above the lowest structure with this stoichiometry in eV/atom: 0.052
Mass density in g/cm3: 5.9
V in Å³ per cell: 146.7

Density functional theory data (PBE-GGA) for CrNiRuW after structural relaxation.

```
CrNiRuW
1.0
-1.968 -2.299 2.977
-1.728 -3.744 -1.007
1.758 -3.597 1.411
Ru Ni W Cr
1 1 1 1
direct
0.250 0.250 0.250 Ru
0.000 0.000 0.000 Ni
0.500 0.500 0.500 W
0.750 0.750 0.750 Cr
```

Properties
Energy relative to the elements in meV per atom: 148
Mass density in g/cm3: 12.1
V in Å³ per cell: 54.1

Density functional theory data (PBE-GGA) for Zn5Ag2Pd12 after structural relaxation.

```
Zn5Ag2Pd12
1.0
-3.894 3.820 0.372
1.088 -3.475 6.898
5.845 5.972 -0.148
Pd Ag Zn
12 2 5
direct
0.896 0.296 0.606 Pd
0.896 0.791 0.698 Pd
0.104 0.704 0.394 Pd
0.955 0.403 0.119 Pd
0.448 0.403 0.119 Pd
0.400 0.296 0.606 Pd
0.552 0.597 0.881 Pd
0.045 0.597 0.881 Pd
0.479 0.959 0.660 Pd
0.104 0.209 0.302 Pd
0.521 0.041 0.340 Pd
0.600 0.704 0.394 Pd
0.750 0.000 0.000 Ag
0.250 0.000 0.000 Ag
0.300 0.600 0.618 Zn
0.638 0.277 0.864 Zn
0.000 0.000 0.500 Zn
0.700 0.400 0.382 Zn
0.362 0.723 0.136 Zn
```

Properties
Energy relative to the elements in meV per atom: -110
Mass density in g/cm3: 9.4
V in Å³ per cell: 323.0

Density functional theory data (PBE-GGA) for Dy5BeZn4 after structural relaxation.

```
Dy5BeZn4
1.0
3.524 0.000 0.000
0.000 3.524 0.000
0.000 0.000 17.775
Zn Dy Be
4 5 1
direct
0.000 0.000 0.194 Zn
0.000 0.000 0.602 Zn
0.000 0.000 0.398 Zn
0.000 0.000 0.806 Zn
0.500 0.500 0.500 Dy
0.500 0.500 0.908 Dy
0.500 0.500 0.704 Dy
0.500 0.500 0.092 Dy
0.500 0.500 0.296 Dy
0.000 0.000 0.000 Be
```

Properties
Energy relative to the elements in meV per atom: -249
Mass density in g/cm3: 8.1
V in Å³ per cell: 220.7

Density functional theory data (PBE-GGA) for ZnAgP4 after structural relaxation.

```
ZnAgP4
1.0
-4.032 -3.831 0.870
-4.670 0.065 -3.144
-0.893 -4.059 -3.798
P Zn Ag
4 1 1
direct
0.600 0.201 0.600 P
0.600 0.600 0.201 P
0.201 0.600 0.600 P
0.600 0.600 0.600 P
0.250 0.250 0.250 Zn
0.000 0.000 0.000 Ag
```

Properties
Energy relative to the elements in meV per atom: 533
Mass density in g/cm3: 3.9
V in Å³ per cell: 126.2

Density functional theory data (PBE-GGA) for Gd4Cu2O after structural relaxation.

```
Gd4Cu2O
1.0
-2.426 -3.869 -1.257
2.400 -2.543 3.196
-4.863 -1.731 5.785
Cu Gd O
2 4 1
direct
0.621 0.621 0.758 Cu
0.379 0.379 0.242 Cu
0.500 0.000 0.000 Gd
0.186 0.186 0.627 Gd
0.814 0.814 0.373 Gd
0.000 0.500 0.000 Gd
0.000 0.000 0.000 O
```

Properties
Mass density in g/cm3: 8.2
V in Å³ per cell: 156.9
Electronic total energy in eV per atom: -10.798

Density functional theory data (PBE-GGA) for Rb4AsI2 after structural relaxation.

```
Rb4AsI2
1.0
-4.931 3.956 1.206
-3.090 -4.772 3.016
0.141 2.208 10.504
Rb I As
4 2 1
direct
0.000 0.500 0.000 Rb
0.826 0.826 0.348 Rb
0.174 0.174 0.652 Rb
0.500 0.000 0.000 Rb
0.639 0.639 0.721 I
0.361 0.361 0.279 I
0.000 0.000 0.000 As
```

Properties
Mass density in g/cm3: 2.8
V in Å³ per cell: 402.7
Electronic total energy in eV per atom: -2.486

Density functional theory data (PBE-GGA) for AcHo2ErHg4 after structural relaxation.

```
AcHo2ErHg4
1.0
5.279 0.000 0.000
2.640 4.572 0.000
2.640 1.524 9.151
Ho Hg Er Ac
2 4 1 1
direct
0.244 0.244 0.267 Ho
0.756 0.756 0.733 Ho
0.129 0.129 0.614 Hg
0.613 0.613 0.160 Hg
0.387 0.387 0.840 Hg
0.871 0.871 0.386 Hg
0.500 0.500 0.500 Er
0.000 0.000 0.000 Ac
```

Properties
Energy relative to the elements in meV per atom: -444
Mass density in g/cm3: 11.5
V in Å³ per cell: 220.9

Density functional theory data (PBE-GGA) for DyErInCu after structural relaxation.

```
DyErInCu
1.0
5.138 0.000 0.000
2.569 4.450 0.000
2.569 1.483 4.195
Dy In Cu Er
1 1 1 1
direct
0.500 0.500 0.500 Dy
0.750 0.750 0.750 In
0.250 0.250 0.250 Cu
0.000 0.000 0.000 Er
```

Properties
Energy relative to the elements in meV per atom: -313
Mass density in g/cm3: 8.8
V in Å³ per cell: 95.9

Density functional theory data (PBE-GGA) for NdGe6Pd12 after structural relaxation.

```
NdGe6Pd12
1.0
-3.642 -3.784 4.978
-0.036 -4.099 -5.964
6.873 0.073 2.263
Pd Ge Nd
12 6 1
direct
0.123 0.500 0.877 Pd
0.877 0.123 0.500 Pd
0.422 0.166 0.422 Pd
0.166 0.422 0.422 Pd
0.834 0.578 0.578 Pd
0.578 0.834 0.578 Pd
0.422 0.422 0.166 Pd
0.500 0.877 0.123 Pd
0.500 0.123 0.877 Pd
0.877 0.500 0.123 Pd
0.123 0.877 0.500 Pd
0.578 0.578 0.834 Pd
0.745 0.305 0.745 Ge
0.305 0.745 0.745 Ge
0.255 0.695 0.255 Ge
0.255 0.255 0.695 Ge
0.695 0.255 0.255 Ge
0.745 0.745 0.305 Ge
0.000 0.000 0.000 Nd
```

Properties
Energy relative to the elements in meV per atom: -500
Mass density in g/cm3: 9.4
V in Å³ per cell: 327.3

Density functional theory data (PBE-GGA) for MgMnIrSe2 after structural relaxation.

```
MgMnIrSe2
1.0
-1.275 4.490 -0.602
-2.974 -1.288 -3.311
-3.376 -0.525 3.237
Se Mn Ir Mg
2 1 1 1
direct
0.500 0.000 0.000 Se
0.000 0.000 0.500 Se
0.000 0.000 0.000 Mn
0.000 0.500 0.000 Ir
0.500 0.500 0.500 Mg
```

Properties
Mass density in g/cm3: 6.9
V in Å³ per cell: 102.6
Electronic total energy in eV per atom: -4.950

Density functional theory data (PBE-GGA) for NpH2F after structural relaxation.

```
NpH2F
1.0
-1.356 -1.556 -2.322
2.233 -2.155 0.140
-2.478 -2.369 3.034
H F Np
2 1 1
direct
0.000 0.000 0.805 H
0.000 0.000 0.195 H
0.500 0.500 0.500 F
0.500 0.500 0.000 Np
```

Properties
Mass density in g/cm3: 9.7
V in Å³ per cell: 44.2
Electronic total energy in eV per atom: -6.291

Density functional theory data (PBE-GGA) for Mg2SbAu8 after structural relaxation.

```
Mg2SbAu8
1.0
4.157 0.000 0.000
0.000 6.704 0.418
-2.079 -2.336 7.217
Au Mg Sb
8 2 1
direct
0.681 0.914 0.361 Au
0.043 0.719 0.086 Au
0.957 0.281 0.914 Au
0.151 0.216 0.302 Au
0.602 0.465 0.204 Au
0.319 0.086 0.639 Au
0.849 0.784 0.698 Au
0.398 0.535 0.796 Au
0.221 0.657 0.443 Mg
0.779 0.343 0.557 Mg
0.500 0.000 0.000 Sb
```

Properties
Mass density in g/cm3: 14.1
V in Å³ per cell: 205.2
Electronic total energy in eV per atom: -3.304